Density functional theory data (PBE) for an optimized crystal structure of ZnCdSO.

Unit cell a=6.824 b=7.407 c=12.506 alpha=90.00 beta=90.00 gamma=90.00
Fractional positions:
Zn1 0.188 0.126 0.202
Zn2 0.188 0.374 0.702
Zn3 0.312 0.626 0.202
Zn4 0.312 0.874 0.702
Zn5 0.688 0.126 0.298
Zn6 0.688 0.374 0.798
Zn7 0.812 0.626 0.298
Zn8 0.812 0.874 0.798
Cd1 0.037 0.245 0.436
Cd2 0.037 0.255 0.936
Cd3 0.463 0.745 0.436
Cd4 0.463 0.755 0.936
Cd5 0.537 0.245 0.064
Cd6 0.537 0.255 0.564
Cd7 0.963 0.745 0.064
Cd8 0.963 0.755 0.564
S1 0.245 0.030 0.028
S2 0.245 0.470 0.528
S3 0.255 0.530 0.028
S4 0.255 0.970 0.528
S5 0.745 0.030 0.472
S6 0.745 0.470 0.972
S7 0.755 0.530 0.472
S8 0.755 0.970 0.972
O1 0.045 0.708 0.235
O2 0.045 0.792 0.735
O3 0.455 0.208 0.235
O4 0.455 0.292 0.735
O5 0.545 0.708 0.265
O6 0.545 0.792 0.765
O7 0.955 0.208 0.265
O8 0.955 0.292 0.765

Values from the calculation:
excess energy over the best structure of this formula in the dataset = 199 meV per atom
crystal system = orthorhombic

---

Density functional theory data (PBE) for an optimized crystal structure of Tl4BiSbAu2.

Unit cell a=6.541 b=6.325 c=6.325 alpha=113.38 beta=90.00 gamma=90.00
Fractional positions:
Tl1 0.000 0.178 0.822
Tl2 0.000 0.822 0.178
Tl3 0.500 0.259 0.620
Tl4 0.500 0.620 0.259
Bi1 0.500 0.037 0.037
Sb1 0.000 0.401 0.401
Au1 0.249 0.710 0.710
Au2 0.751 0.710 0.710

Values from the calculation:
crystal system = orthorhombic

---

Density functional theory data (PBE) for an optimized crystal structure of TaTlCuPd.

Unit cell a=4.570 b=4.570 c=4.570 alpha=60.00 beta=60.00 gamma=60.00
Fractional positions:
Ta1 0.000 0.000 0.000
Tl1 0.500 0.500 0.500
Cu1 0.750 0.750 0.750
Pd1 0.250 0.250 0.250

Values from the calculation:
excess energy over the best structure of this formula in the dataset = 0 meV per atom
crystal system = cubic

---

Density functional theory data (PBE) for an optimized crystal structure of RbZrCdAu.

Unit cell a=5.297 b=5.297 c=5.297 alpha=60.00 beta=60.00 gamma=60.00
Fractional positions:
Rb1 0.000 0.000 0.000
Zr1 0.500 0.500 0.500
Cd1 0.250 0.250 0.250
Au1 0.750 0.750 0.750

Values from the calculation:
excess energy over the best structure of this formula in the dataset = 1 meV per atom
crystal system = cubic

---

Density functional theory data (PBE) for an optimized crystal structure of HoErAl4.

Unit cell a=4.298 b=7.008 c=7.008 alpha=35.89 beta=90.00 gamma=90.00
Fractional positions:
Ho1 0.000 0.000 0.000
Er1 0.000 0.690 0.690
Al1 0.000 0.344 0.344
Al2 0.500 0.181 0.181
Al3 0.500 0.510 0.510
Al4 0.500 0.845 0.845

Values from the calculation:
excess energy over the best structure of this formula in the dataset = 27 meV per atom
crystal system = orthorhombic

---

Density functional theory data (PBE) for an optimized crystal structure of TmSiPb.

Unit cell a=4.916 b=4.916 c=4.916 alpha=60.00 beta=60.00 gamma=60.00
Fractional positions:
Tm1 0.000 0.000 0.000
Si1 0.250 0.250 0.250
Pb1 0.750 0.750 0.750

Values from the calculation:
excess energy over the best structure of this formula in the dataset = 147 meV per atom
crystal system = cubic

---

Density functional theory data (PBE) for an optimized crystal structure of PuZnPt.

Unit cell a=4.616 b=4.616 c=4.616 alpha=60.00 beta=60.00 gamma=60.00
Fractional positions:
Pu1 0.000 0.000 0.000
Zn1 0.500 0.500 0.500
Pt1 0.250 0.250 0.250

Values from the calculation:
E_form = -521.5 meV/atom
crystal system = cubic

---

Density functional theory data (PBE) for an optimized crystal structure of ScCoBAu.

Unit cell a=4.264 b=4.264 c=4.264 alpha=60.00 beta=60.00 gamma=60.00
Fractional positions:
Sc1 0.000 0.000 0.000
Co1 0.750 0.750 0.750
B1 0.500 0.500 0.500
Au1 0.250 0.250 0.250

Values from the calculation:
excess energy over the best structure of this formula in the dataset = 49 meV per atom
crystal system = cubic

---

Density functional theory data (PBE) for an optimized crystal structure of TaPdO3.

Unit cell a=6.011 b=6.011 c=6.011 alpha=52.74 beta=52.74 gamma=52.74
Fractional positions:
Ta1 0.155 0.155 0.155
Ta2 0.845 0.845 0.845
Pd1 0.358 0.358 0.358
Pd2 0.642 0.642 0.642
O1 0.049 0.801 0.437
O2 0.199 0.563 0.951
O3 0.437 0.049 0.801
O4 0.563 0.951 0.199
O5 0.801 0.437 0.049
O6 0.951 0.199 0.563

Values from the calculation:
crystal system = trigonal

---

Density functional theory data (PBE) for an optimized crystal structure of Cs2DyTmS4.

Unit cell a=4.069 b=4.069 c=16.043 alpha=90.00 beta=90.00 gamma=120.00
Fractional positions:
Cs1 0.333 0.667 0.250
Cs2 0.667 0.333 0.750
Dy1 0.000 0.000 0.000
Tm1 0.000 0.000 0.500
S1 0.333 0.667 0.590
S2 0.333 0.667 0.908
S3 0.667 0.333 0.092
S4 0.667 0.333 0.410

Values from the calculation:
crystal system = trigonal

---

Density functional theory data (PBE) for an optimized crystal structure of YGaFeAu.

Unit cell a=4.748 b=4.748 c=4.748 alpha=60.00 beta=60.00 gamma=60.00
Fractional positions:
Y1 0.000 0.000 0.000
Ga1 0.250 0.250 0.250
Fe1 0.500 0.500 0.500
Au1 0.750 0.750 0.750

Values from the calculation:
excess energy over the best structure of this formula in the dataset = 0 meV per atom
crystal system = cubic

---

Density functional theory data (PBE) for an optimized crystal structure of Ta5Re.

Unit cell a=5.379 b=5.379 c=17.448 alpha=90.00 beta=90.00 gamma=120.00
Fractional positions:
Ta1 0.000 0.500 0.000
Ta2 0.000 0.500 0.500
Ta3 0.164 0.327 0.250
Ta4 0.164 0.836 0.250
Ta5 0.327 0.164 0.750
Ta6 0.333 0.667 0.123
Ta7 0.333 0.667 0.377
Ta8 0.333 0.667 0.658
Ta9 0.333 0.667 0.842
Ta10 0.500 0.000 0.000
Ta11 0.500 0.000 0.500
Ta12 0.500 0.500 0.000
Ta13 0.500 0.500 0.500
Ta14 0.667 0.333 0.158
Ta15 0.667 0.333 0.342
Ta16 0.667 0.333 0.623
Ta17 0.667 0.333 0.877
Ta18 0.673 0.836 0.250
Ta19 0.836 0.164 0.750
Ta20 0.836 0.673 0.750
Re1 0.000 0.000 0.101
Re2 0.000 0.000 0.399
Re3 0.000 0.000 0.601
Re4 0.000 0.000 0.899

Values from the calculation:
excess energy over the best structure of this formula in the dataset = 352 meV per atom
E_form = 281.2 meV/atom
crystal system = hexagonal

---

Number 1: V 19.75 A^3/atom, VASP energy -3.548 eV per atom. Number 2: V 30.02 A^3/atom, VASP energy -3.067 eV per atom. Number 3: V 16.87 A^3/atom, VASP energy -5.579 eV per atom. Number 4: V 26.27 A^3/atom, VASP energy -2.986 eV per atom. Number 5: V 20.62 A^3/atom, VASP energy -4.394 eV per atom. Number 6: V 28.01 A^3/atom, VASP energy -4.396 eV per atom. Number 7: V 23.18 A^3/atom, VASP energy -7.671 eV per atom. Number 8: V 13.71 A^3/atom, VASP energy -5.552 eV per atom. Number 9: V 12.75 A^3/atom, VASP energy -8.098 eV per atom. Number 10: V 28.76 A^3/atom, VASP energy -5.243 eV per atom. Number 11: V 18.92 A^3/atom, VASP energy -5.495 eV per atom. Number 12: V 18.22 A^3/atom, VASP energy -11.666 eV per atom.